[1]
Here is crystalline BeSbPb at its relaxed geometry from Alexandria via LeMat-Bulk. Energies are from PBEsol.

Properties
Its space-group type is No. 156. The total energy is -3.984 eV per atom. For the energy relative to the elements, uncorrected, the calculation gives 0.201 eV per atom. The value obtained for the energy above the most stable polymorph in this dataset is 0.0000 eV/atom.

a = 4.008 Å, b = 4.008 Å, c = 5.040 Å
α = 90.00°, β = 90.00°, γ = 120.00°
Atoms (fractional coordinates):
Sb 0.667 0.333 0.216
Pb 0.333 0.667 0.716
Be 0.000 0.000 0.068



[2]
Here is crystalline Sc2BePb at its relaxed geometry from Alexandria via LeMat-Bulk. Energies are from PBEsol.

Properties
As for the formation energy: -85 meV/atom. Its space-group type is No. 65. The total energy is -5.387 eV per atom. The value obtained for the energy above the most stable polymorph in this dataset is 0.0798 eV/atom.

a = 3.264 Å, b = 4.988 Å, c = 4.988 Å
α = 104.39°, β = 90.00°, γ = 90.00°
Atoms (fractional coordinates):
Pb 0.500 0.500 0.500
Sc 0.000 0.500 0.000
Sc 0.000 0.000 0.500
Be 0.500 0.000 0.000



[3]
Here is crystalline ScBe3Pb at its relaxed geometry from Alexandria via LeMat-Bulk. Energies are from PBEsol.

Properties
As for the formation energy: 1169 meV/atom. Its space-group type is No. 221. The total energy is -3.352 eV per atom.

a = 4.578 Å, b = 4.578 Å, c = 4.578 Å
α = 90.00°, β = 90.00°, γ = 90.00°
Atoms (fractional coordinates):
Be 0.000 0.500 0.000
Be 0.500 0.000 0.000
Be 0.000 0.000 0.500
Pb 0.000 0.000 0.000
Sc 0.500 0.500 0.500



[4]
Here is crystalline ScBe2Pb at its relaxed geometry from Alexandria via LeMat-Bulk. Energies are from PBEsol.

Properties
As for the formation energy: 291 meV/atom. Its space-group type is No. 166. The total energy is -4.360 eV per atom.

a = 4.048 Å, b = 4.048 Å, c = 5.233 Å
α = 67.25°, β = 67.25°, γ = 60.00°
Atoms (fractional coordinates):
Be 0.277 0.277 0.169
Be 0.723 0.723 0.831
Pb 0.000 0.000 0.000
Sc 0.500 0.500 0.500



[5]
Here is crystalline Sc2BePb at its relaxed geometry from Alexandria via LeMat-Bulk. Energies are from PBEsol.

Properties
As for the formation energy: 73 meV/atom. Its space-group type is No. 99. The total energy is -5.229 eV per atom. The value obtained for the energy above the most stable polymorph in this dataset is 0.2381 eV/atom.

a = 3.257 Å, b = 3.257 Å, c = 7.722 Å
α = 90.00°, β = 90.00°, γ = 90.00°
Atoms (fractional coordinates):
Sc 0.500 0.500 0.292
Sc 0.000 0.000 0.004
Pb 0.500 0.500 0.707
Be 0.000 0.000 0.497



[6]
Here is crystalline Sc2BePb at its relaxed geometry from Alexandria via LeMat-Bulk. Energies are from PBEsol.

Properties
As for the formation energy: -165 meV/atom. Its space-group type is No. 123. The total energy is -5.467 eV per atom. The value obtained for the energy above the most stable polymorph in this dataset is 0.0000 eV/atom.

a = 3.281 Å, b = 3.281 Å, c = 7.221 Å
α = 90.00°, β = 90.00°, γ = 90.00°
Atoms (fractional coordinates):
Be 0.500 0.500 0.000
Sc 0.000 0.000 0.211
Sc 0.000 0.000 0.789
Pb 0.500 0.500 0.500



In order of appearance, size of the total moment = 0.0, 0.0, 0.0, 0.0, 0.0, 0.0 μB per formula unit.
In order of appearance, N(E_F) = 0.343, 0.783, 0.808, 0.499, 0.677, 0.534 states/eV per atom.